No. 1
# Re2MoHIr

Crystalline Re2MoHIr at its relaxed geometry (PBE-GGA, Alexandria).

abc: 3.9503 3.9503 3.9741
angles: 90.00 90.00 90.00
Positions (direct):
Re 0.0000 0.5000 0.0000
Re 0.5000 0.0000 0.0000
Mo 0.0000 0.0000 0.5000
H 0.0000 0.0000 0.0000
Ir 0.5000 0.5000 0.5000

Computed properties:
SG	P4/mmm
offset from the most stable computed form	0.0	meV/atom
DFT total energy	-47.952	eV per formula unit

No. 2
# Th2AlSiPd6

Crystalline Th2AlSiPd6 at its relaxed geometry (PBE-GGA, Alexandria).

abc: 6.3748 6.3748 8.3748
angles: 127.59 127.59 51.02
Positions (direct):
Th 0.2488 0.2488 0.2269
Th 0.7512 0.7512 0.7731
Al 0.5000 0.5000 0.0000
Si 0.0000 0.0000 0.5000
Pd 0.2220 0.7285 0.2293
Pd 0.2516 0.2516 0.5988
Pd 0.2715 0.7780 0.7707
Pd 0.7285 0.2220 0.2293
Pd 0.7484 0.7484 0.4012
Pd 0.7780 0.2715 0.7707

Computed properties:
SG	C2/m
DFT total energy	-62.606	eV per formula unit
formation energy from raw total energies	-0.744	eV/atom

No. 3
# SrYCuIr

Crystalline SrYCuIr at its relaxed geometry (PBE-GGA, Alexandria).

abc: 7.0883 7.0883 7.0883
angles: 90.00 90.00 90.00
Positions (direct):
Sr 0.0000 0.0000 0.0000
Sr 0.0000 0.5000 0.5000
Sr 0.5000 0.0000 0.5000
Sr 0.5000 0.5000 0.0000
Y 0.0000 0.0000 0.5000
Y 0.0000 0.5000 0.0000
Y 0.5000 0.0000 0.0000
Y 0.5000 0.5000 0.5000
Cu 0.2500 0.2500 0.7500
Cu 0.2500 0.7500 0.2500
Cu 0.7500 0.2500 0.2500
Cu 0.7500 0.7500 0.7500
Ir 0.2500 0.2500 0.2500
Ir 0.2500 0.7500 0.7500
Ir 0.7500 0.2500 0.7500
Ir 0.7500 0.7500 0.2500

Computed properties:
SG	F-43m
formation enthalpy at 0 K	-0.226	eV per atom
DFT total energy	-22.008	eV per formula unit

No. 4
# Ca4OsN4

Crystalline Ca4OsN4 at its relaxed geometry (PBE-GGA, Alexandria).

abc: 6.6529 6.6529 6.3282
angles: 90.00 90.00 90.00
Positions (direct):
Ca 0.0272 0.2500 0.1191
Ca 0.2500 0.0272 0.6191
Ca 0.2500 0.4728 0.6191
Ca 0.4728 0.2500 0.1191
Ca 0.5272 0.7500 0.8809
Ca 0.7500 0.5272 0.3809
Ca 0.7500 0.9728 0.3809
Ca 0.9728 0.7500 0.8809
Os 0.2500 0.7500 0.2500
Os 0.7500 0.2500 0.7500
N 0.0426 0.7500 0.4797
N 0.2500 0.5426 0.0203
N 0.2500 0.9574 0.0203
N 0.4574 0.7500 0.4797
N 0.5426 0.2500 0.5203
N 0.7500 0.0426 0.9797
N 0.7500 0.4574 0.9797
N 0.9574 0.2500 0.5203

Computed properties:
SG	P4_2/nmc
offset from the most stable computed form	230.6	meV/atom
DFT total energy	-56.117	eV per formula unit
formation energy from raw total energies	-0.398	eV/atom

No. 5
# IrRhSeBr2

Crystalline IrRhSeBr2 at its relaxed geometry (PBE-GGA, Alexandria).

abc: 4.9831 4.9831 4.8262
angles: 90.00 90.00 90.00
Positions (direct):
Ir 0.0000 0.0000 0.0000
Rh 0.5000 0.5000 0.5000
Se 0.5000 0.5000 0.0000
Br 0.0000 0.5000 0.5000
Br 0.5000 0.0000 0.5000

Computed properties:
SG	P4/mmm
offset from the most stable computed form	218.3	meV/atom
DFT total energy	-17.507	eV per formula unit
formation energy from raw total energies	1.107	eV/atom

No. 6
# TbYSb

Crystalline TbYSb at its relaxed geometry (PBE-GGA, Alexandria).

abc: 5.0598 5.0598 4.0288
angles: 90.00 90.00 120.00
Positions (direct):
Tb 0.0000 0.0000 0.0000
Y 0.6667 0.3333 0.5251
Sb 0.3333 0.6667 0.2934

Computed properties:
SG	P3m1
DFT total energy	-16.555	eV per formula unit
formation energy from raw total energies	-0.446	eV/atom